Compound: Hf2NbCuN
Source: Alexandria
Functional: GGA-PBE
Structure: relaxed

Properties
**Calculated volume**: 16.14 Å³/atom
**Symmetry**: P4/mmm (123)
**Final energy**: -9.08 eV per atom

Structure (POSCAR):
```
Hf2NbCuN
1.0
4.3993 0.0000 0.0000
0.0000 4.3993 0.0000
0.0000 0.0000 4.1709
Nb N Cu Hf
1 1 1 2
direct
0.0000 0.0000 0.5000
0.0000 0.0000 0.0000
0.5000 0.5000 0.5000
0.5000 0.0000 0.0000
0.0000 0.5000 0.0000
```